Compound: CrGeO3
Source: Alexandria via LeMat-Bulk
Functional: PBE+U
Structure: relaxed

The value obtained for the total DFT energy (no corrections) is -6.802 eV per atom. The calculation puts the density of states at the Fermi level at 0.17 states/eV per atom. The size of the total moment is 3.84 μB per formula unit.

POSCAR file:
```
CrGeO3
1.0
3.476 0.651 0.000
-0.702 3.466 0.000
0.000 0.000 9.688
Cr Ge O
2 2 6
direct
0.173 0.173 0.500
0.173 0.173 0.000
0.543 0.658 0.250
0.658 0.543 0.750
0.239 0.660 0.399
0.239 0.660 0.101
0.734 0.159 0.250
0.660 0.239 0.899
0.660 0.239 0.601
0.159 0.734 0.750
```